A geometry-optimized CeDyZnPb structure. Source: Alexandria, functional PBE.

POSCAR file:
```
CeDyZnPb
1.0
0.0000 3.7564 3.7564
3.7564 0.0000 3.7564
3.7564 3.7564 0.0000
Ce Dy Zn Pb
1 1 1 1
direct
0.0000 0.0000 0.0000
0.5000 0.5000 0.5000
0.2500 0.2500 0.2500
0.7500 0.7500 0.7500
```

Output
The calculation puts the total energy at -4.19 eV/atom. The value obtained for the total magnetization is 1.032 μB per cell. Its formation energy is -1.25 eV per formula unit.